# 1
Here is an optimized crystal structure of BeTl2Tc from the Open Quantum Materials Database. Energies are from PBE-GGA.

Computed properties:
Its space group is F-43m.

```
BeTl2Tc
1.0
0.000 3.347 3.347
3.347 0.000 3.347
3.347 3.347 0.000
Be Tl Tc
1 2 1
direct
0.000 0.000 0.000
0.250 0.250 0.250
0.500 0.500 0.500
0.750 0.750 0.750
```

# 2
Here is an optimized crystal structure of Be2TlTc from the Open Quantum Materials Database. Energies are from PBE-GGA.

Computed properties:
Its space group is F-43m.

```
Be2TlTc
1.0
0.000 3.062 3.062
3.062 0.000 3.062
3.062 3.062 0.000
Be Tl Tc
2 1 1
direct
0.000 0.000 0.000
0.250 0.250 0.250
0.500 0.500 0.500
0.750 0.750 0.750
```

# 3
Here is an optimized crystal structure of BeTcW2 from the Open Quantum Materials Database. Energies are from PBE-GGA.

Computed properties:
Its space group is F-43m.

```
BeTcW2
1.0
0.000 3.059 3.059
3.059 0.000 3.059
3.059 3.059 0.000
Be Tc W
1 1 2
direct
0.000 0.000 0.000
0.250 0.250 0.250
0.500 0.500 0.500
0.750 0.750 0.750
```

# 4
Here is an optimized crystal structure of BeTc2W from the Open Quantum Materials Database. Energies are from PBE-GGA.

Computed properties:
Its space group is F-43m.

```
BeTc2W
1.0
0.000 3.025 3.025
3.025 0.000 3.025
3.025 3.025 0.000
Be Tc W
1 2 1
direct
0.000 0.000 0.000
0.500 0.500 0.500
0.750 0.750 0.750
0.250 0.250 0.250
```

Quick rundown of V, same order as above: 75.0, 57.4, 57.2, 55.3 Å³/cell
Quick rundown of energy, same order as above: -3.61, -4.26, -9.80, -9.13 eV/atom